Entry 1:
Entry from OQMD: a relaxed structure of LaHoNi2P2 (PBE-GGA).

```
LaHoNi2P2
1.0
3.9449 0.0000 0.0000
-1.9724 3.4163 0.0000
0.0000 0.0000 7.8953
Ho La Ni P
1 1 2 2
Cartesian
0.0000 0.0000 3.9477 Ho
0.0000 0.0000 0.0000 La
0.0000 2.2776 2.0539 Ni
1.9724 1.1388 5.8414 Ni
1.9724 1.1388 2.1130 P
0.0000 2.2776 5.7824 P
```

Calculated values
theoretical density: 7.540 g/cm³
final energy: -6.45 eV/atom

Entry 2:
Entry from OQMD: a relaxed structure of Li2Hg2O3 (PBE-GGA).

```
Li2Hg2O3
1.0
4.0990 -4.9819 0.8493
-0.9946 2.9857 5.6955
-5.6660 -2.2214 -2.3031
Hg Li O
4 4 6
Cartesian
-0.3345 1.2950 2.8815 Hg
1.8244 -2.5792 0.3332 Hg
-1.1791 -1.9413 1.9524 Hg
-2.8725 -0.9921 -0.9253 Hg
1.8423 -1.3507 3.3325 Li
-3.4007 0.5935 2.0993 Li
-1.1845 -3.7589 -0.8899 Li
-2.3803 -3.9191 3.9416 Li
1.7358 -1.4292 5.2104 O
0.8843 -2.6214 2.3268 O
-1.9618 -0.1849 3.0307 O
-2.3093 -2.7699 0.2505 O
-0.8991 -5.5800 -0.5082 O
-5.1349 -0.0675 2.4150 O
```

Calculated values
theoretical density: 7.251 g/cm³
polymorph energy (0 for the lowest one): 0 meV/atom

Entry 3:
Entry from OQMD: a relaxed structure of PrY4Ag5 (PBE-GGA).

```
PrY4Ag5
1.0
-2.1546 -1.2175 -2.6730
2.6678 -2.1980 -1.1492
-6.2162 -13.3423 11.0879
Ag Pr Y
5 1 4
Cartesian
-0.4294 -3.1803 -0.6874 Ag
-1.6271 -5.7509 1.4488 Ag
-2.8515 -8.3789 3.6328 Ag
-4.0759 -11.0070 5.8168 Ag
-5.2735 -13.5776 7.9530 Ag
0.0000 0.0000 0.0000 Pr
-1.2759 -2.7386 2.2758 Y
-2.4965 -5.3585 4.4531 Y
-3.7197 -7.9838 6.6348 Y
-4.9403 -10.6038 8.8120 Y
```

Calculated values
theoretical density: 7.034 g/cm³
DFT formation energy: -0.324 eV per atom

Entry 4:
Entry from OQMD: a relaxed structure of LuSiH2O4 (PBE-GGA).

```
LuSiH2O4
1.0
-3.1469 -3.1469 4.0591
-3.1469 3.1469 -4.0591
3.1469 -3.1469 -4.0591
H Lu O Si
4 2 8 2
Cartesian
-3.1469 0.0000 -0.1280 H
0.0000 0.0000 -1.9016 H
-3.1469 0.0000 -3.9312 H
0.0000 0.0000 -6.2167 H
0.0000 0.0000 -4.0592 Lu
0.0000 -3.1469 -2.0296 Lu
-3.1501 -1.2087 -0.9004 O
0.0032 -1.2088 -1.1291 O
-1.2088 -3.1437 0.9004 O
-1.9381 -0.0032 -3.1587 O
-1.9381 -3.1437 -2.9300 O
1.9381 -3.1501 -2.9300 O
0.0032 -1.9381 -4.9596 O
-0.0032 -5.0850 -1.1291 O
0.0000 0.0000 0.0000 Si
-3.1469 0.0000 -2.0296 Si
```

Calculated values
theoretical density: 5.558 g/cm³
polymorph energy (0 for the lowest one): 366 meV/atom